The following is a PBE calculation of Zr3HgN after structural relaxation, from the Alexandria database.

Computed properties:
The calculation puts the total DFT energy (no corrections) at -76.60 eV per cell. Its uncorrected formation energy is -805.9 meV per atom.

abc: 5.8046 8.1120 4.6455
angles: 106.62 66.40 84.26
Element x y z (fractional)
Hg 0.3621 0.1755 0.7383
Zr 0.5468 0.5561 0.8362
Zr 0.1914 0.4158 0.4437
Zr 0.2259 0.8109 0.6241
N 0.2599 0.8222 0.1125
N 0.8910 0.6731 0.7229
Zr 0.9595 0.0795 0.3917
Hg 0.7888 0.3198 0.0971
Zr 0.6041 0.9392 0.9992
Zr 0.9250 0.6844 0.2113


The following is a PBE calculation of TlSi2Sn after structural relaxation, from the Alexandria database.

Computed properties:
For the energy above the most stable polymorph in this dataset, the calculation gives 14.9 kJ per mole of atoms. The calculation puts the total DFT energy (no corrections) at -14.88 eV per cell. Its uncorrected formation energy is 583.4 meV per atom.

abc: 5.0071 5.0071 5.0071
angles: 60.00 60.00 60.00
Element x y z (fractional)
Si 0.7500 0.7500 0.7500
Sn 0.0000 0.0000 0.0000
Tl 0.5000 0.5000 0.5000
Si 0.2500 0.2500 0.2500


The following is a PBE calculation of SrMg6Pb2 after structural relaxation, from the Alexandria database.

Computed properties:
The calculation puts the energy of formation at -1.40 eV per formula unit. The calculation puts the total DFT energy (no corrections) at -20.06 eV per cell.

abc: 4.6567 4.6567 11.2334
angles: 90.00 90.00 90.00
Element x y z (fractional)
Sr 0.0000 0.0000 0.0000
Pb 0.5000 0.5000 0.1392
Mg 0.5000 0.0000 0.3081
Mg 0.5000 0.0000 0.6919
Pb 0.5000 0.5000 0.8608
Mg 0.0000 0.0000 0.5000
Mg 0.5000 0.5000 0.5000
Mg 0.0000 0.5000 0.6919
Mg 0.0000 0.5000 0.3081